## K4CdIr (GGA-PBE)

Data for an optimized crystal structure of K4CdIr.

Lattice parameters (Å, degrees): 9.3794 9.3794 9.3794 90.00 90.00 90.00
Last column: nearest neighbours and their distance in Å.
Space group F-43m (No. 216)
Asymmetric unit:
K  0.1236  0.1236  0.3764 (multiplicity 16)  6 K 3.28-3.35
Cd  0.0000  0.0000  0.0000 (multiplicity 4)  12 K 3.89, 4 Ir 4.06
Ir  0.2500  0.2500  0.7500 (multiplicity 4)  12 K 3.88, 4 Cd 4.06

Results
Formation energy, kJ/mol of atoms: 82
Energy, eV/cell: -36.2

=====

## K2CdIr (GGA-PBE)

Data for an optimized crystal structure of K2CdIr.

Lattice parameters (Å, degrees): 12.8594 2.9450 6.2249 90.00 106.40 90.00
Last column: nearest neighbours and their distance in Å.
Space group Cm (No. 8)
Asymmetric unit:
K  0.0000  0.0000  0.0000 (multiplicity 2)  2 K 2.95
K  0.1891  0.0000  0.6203 (multiplicity 2)  2 K 2.95
Cd  0.2785  0.5000  0.1889 (multiplicity 2)  2 Ir 2.75, 2 Cd 2.95
Ir  0.4386  0.0000  0.4785 (multiplicity 2)  2 Cd 2.75, 2 Ir 2.95

Results
Formation energy, kJ/mol of atoms: 43
Energy, eV/cell: -20.3